A relaxed structure of LaInRe2, computed with PBE-GGA.

abc: 3.624 3.624 6.606
angles: 90.00 90.00 90.00
Space group P4/mmm (No. 123)
Asymmetric unit:
La 0.000 0.000 0.000 x1
In 0.000 0.000 0.500 x1
Re 0.500 0.500 0.314 x2

Results
Its density of states at the Fermi level is 0.646 states/eV per atom. The spin magnetization comes out at 0.00 μB per formula unit. The value obtained for the total DFT energy (no corrections) is -7.4724 eV per atom.

A relaxed structure of LaInRe2, computed with PBE-GGA.

abc: 3.014 4.394 6.515
angles: 90.00 90.00 90.00
Space group Pmmm (No. 47)
Asymmetric unit:
La 0.000 0.000 0.000 x1
In 0.000 0.000 0.500 x1
Re 0.500 0.500 0.319 x2

Results
Its density of states at the Fermi level is 1.130 states/eV per atom. The spin magnetization comes out at 0.00 μB per formula unit. The value obtained for the total DFT energy (no corrections) is -7.5467 eV per atom.

A relaxed structure of LaInRe2, computed with PBE-GGA.

abc: 3.355 4.650 5.168
angles: 90.00 90.00 90.00
Space group Pmmm (No. 47)
Asymmetric unit:
La 0.000 0.000 0.000 x1
In 0.500 0.000 0.500 x1
Re 0.000 0.500 0.500 x1
Re 0.500 0.500 0.000 x1

Results
Its density of states at the Fermi level is 1.398 states/eV per atom. The spin magnetization comes out at 0.00 μB per formula unit. The value obtained for the total DFT energy (no corrections) is -7.3126 eV per atom.

A relaxed structure of LaInRe2, computed with PBE-GGA.

abc: 6.353 8.943 2.814
angles: 90.00 90.00 90.00
Space group Cmmm (No. 65)
Asymmetric unit:
La 0.000 0.000 0.000 x2
In 0.000 0.500 0.000 x2
Re 0.250 0.250 0.500 x4

Results
Its density of states at the Fermi level is 1.071 states/eV per atom. The spin magnetization comes out at 0.00 μB per formula unit. The value obtained for the total DFT energy (no corrections) is -7.2783 eV per atom.

A relaxed structure of LaInRe2, computed with PBE-GGA.

abc: 4.999 3.126 5.393
angles: 90.00 110.53 90.00
Space group P2/m (No. 10)
Asymmetric unit:
La 0.000 0.000 0.000 x1
In 0.000 0.500 0.500 x1
Re 0.500 0.000 0.500 x1
Re 0.500 0.500 0.000 x1

Results
Its density of states at the Fermi level is 1.337 states/eV per atom. The spin magnetization comes out at 0.00 μB per formula unit. The value obtained for the total DFT energy (no corrections) is -7.3863 eV per atom.

A relaxed structure of LaInRe2, computed with PBE-GGA.

abc: 7.930 7.930 5.680
angles: 90.00 90.00 90.00
Space group I-42d (No. 122)
Asymmetric unit:
La 0.000 0.000 0.000 x4
In 0.000 0.000 0.500 x4
Re 0.220 0.750 0.625 x8

Results
Its density of states at the Fermi level is 1.373 states/eV per atom. The spin magnetization comes out at 0.78 μB per formula unit. The value obtained for the total DFT energy (no corrections) is -6.9161 eV per atom.

A relaxed structure of LaInRe2, computed with PBE-GGA.

abc: 3.225 4.928 9.686
angles: 90.00 90.00 90.00
Space group Cmmm (No. 65)
Asymmetric unit:
La 0.000 0.000 0.000 x2
In 0.000 0.000 0.500 x2
Re 0.000 0.500 0.263 x4

Results
Its density of states at the Fermi level is 0.648 states/eV per atom. The spin magnetization comes out at 0.00 μB per formula unit. The value obtained for the total DFT energy (no corrections) is -7.3849 eV per atom.

A relaxed structure of LaInRe2, computed with PBE-GGA.

abc: 3.193 5.036 10.583
angles: 90.00 90.00 90.00
Space group Imm2 (No. 44)
Asymmetric unit:
La 0.000 0.000 0.000 x2
In 0.000 0.500 0.208 x2
Re 0.000 0.000 0.464 x2
Re 0.000 0.500 0.782 x2

Results
Its density of states at the Fermi level is 0.516 states/eV per atom. The spin magnetization comes out at 0.00 μB per formula unit. The value obtained for the total DFT energy (no corrections) is -7.7126 eV per atom.

Question: What is the spin magnetization in the sixth record?
Answer: 0.78 μB per formula unit